Here is an optimized crystal structure of Nd2NbP3Rh12 from Alexandria. Energies are from PBE.

Cell: 8.4659 8.4659 15.4946 Å, 90.00 90.00 120.00°
Space group R-3m (No. 166, hexagonal axes)
Inequivalent atoms, fractional coordinates:
1 Nd 0.0000 0.0000 0.1042
2 Nb 0.0000 0.0000 0.5000
3 P 0.0000 0.5000 0.0000
4 Rh 0.0103 0.5052 0.8583
5 Rh 0.0570 0.5285 0.3536

## Properties
raw total energy	-7.12	eV per atom
density	8.9	g/cm3
Fermi-level density of states	49.38	states/eV per cell
calculated volume	17.81	Å³ per atom